(1)
# PBE Lu2ZnHg, relaxed
# Formation energy from the elements   0.0135 eV per atom
# VASP energy   -2.639 eV per atom
# Mass density   11.03 g/cm³
data_Lu2ZnHg
_chemical_formula_sum 'Lu8 Zn4 Hg4'
_cell_length_a 7.184
_cell_length_b 7.184
_cell_length_c 7.184
_cell_angle_alpha 90.00
_cell_angle_beta 90.00
_cell_angle_gamma 90.00
_space_group_name_H-M_alt 'F -4 3 m'
_space_group_IT_number 216
_space_group_name_Hall 'F -4 2 3'
loop_
_atom_site_label
_atom_site_fract_x
_atom_site_fract_y
_atom_site_fract_z
Lu1 0.000 0.000 0.000
Lu2 0.250 0.250 0.250
Zn1 0.000 0.000 0.500
Hg1 0.250 0.250 0.750

***

(2)
# PBE Mg5Hg3, relaxed
# VASP energy   -1.288 eV per atom
# Mass density   6.85 g/cm³
data_Mg5Hg3
_chemical_formula_sum 'Mg10 Hg6'
_cell_length_a 8.2501
_cell_length_b 8.2501
_cell_length_c 5.9515
_cell_angle_alpha 90.00
_cell_angle_beta 90.00
_cell_angle_gamma 120.00
_space_group_name_H-M_alt 'P 63/m c m'
_space_group_IT_number 193
_space_group_name_Hall '-P 6c 2'
loop_
_atom_site_label
_atom_site_fract_x
_atom_site_fract_y
_atom_site_fract_z
Mg1 0.0000 0.2508 0.2500
Mg2 0.3333 0.6667 0.0000
Hg1 0.0000 0.3887 0.7500

***

(3)
# PBE MgHg, relaxed
# VASP energy   -1.021 eV per atom
# Mass density   8.50 g/cm³
data_MgHg
_chemical_formula_sum 'Mg12 Hg12'
_cell_length_a 6.479
_cell_length_b 15.527
_cell_length_c 5.240
_cell_angle_alpha 90.00
_cell_angle_beta 90.00
_cell_angle_gamma 90.00
_space_group_name_H-M_alt 'P b c m'
_space_group_IT_number 57
loop_
_space_group_symop_operation_xyz
'x,y,z'
'-x,-y,-z'
'-x,-y,z+1/2'
'x,y,-z+1/2'
'x,-y+1/2,-z'
'-x,y+1/2,z'
'-x,y+1/2,-z+1/2'
'x,-y+1/2,z+1/2'
loop_
_atom_site_label
_atom_site_fract_x
_atom_site_fract_y
_atom_site_fract_z
Mg1 0.126 0.132 0.250
Mg2 0.372 0.194 0.750
Mg3 0.374 0.635 0.250
Hg1 0.121 0.701 0.750
Hg2 0.128 0.030 0.750
Hg3 0.380 0.534 0.750

***

Question: What is the formula in the first record?
Answer: Lu2ZnHg